Material: SrCaCl
Method: DFT, PBE-GGA
State: optimized geometry

Calculated values
M_tot in μB/f.u.: 0.39
Fermi-level density of states in states/eV/f.u.: 3.7
ρ in g cm⁻³: 1.70
Raw total energy in eV for the cell shown: -6.112
Relative energy among the computed polymorphs in eV per atom: 0.860
E_form (uncorrected) in eV/atom: -0.194

a = 6.0872 Å, b = 6.0872 Å, c = 6.0872 Å
α = 60.00°, β = 60.00°, γ = 60.00°
Each line ends with the local moment (μB).
Positions (direct):
Sr 0.7500 0.7500 0.7500  0.04
Ca 0.0000 0.0000 0.0000  0.05
Cl 0.5000 0.5000 0.5000  0.01